Entry 1:
Density functional theory data (PBE) for crystalline Tc2NiBr at its relaxed geometry.

Lattice parameters (Å, degrees): 4.6075 4.6075 4.6075 127.96 127.96 76.69
Last column: nearest neighbours and their distance in Å.
Atoms (fractional coordinates):
Tc: 0.0000 0.0000 0.0000  4 Br 2.71, 4 Tc 2.71, 4 Ni 2.86
Tc: 0.7500 0.2500 0.5000  4 Ni 2.71, 4 Tc 2.71, 4 Br 2.86
Ni: 0.5000 0.5000 0.0000  4 Br 2.71, 8 Tc 2.71-2.86
Br: 0.2500 0.7500 0.5000  4 Ni 2.71, 8 Tc 2.71-2.86

Computed properties:
E_form (uncorrected), eV/f.u.: 3.533
E_tot, eV/f.u.: -24.653
Magnetic moment, μB/f.u.: 0.000
SG: I-4m2
Density of states at the Fermi level, states/eV/cell: 4.43
Excess energy over the best structure of this formula in the dataset, kJ per mole of atoms: 48.3



Entry 2:
Density functional theory data (PBE) for crystalline Ho3ErNi at its relaxed geometry.

Lattice parameters (Å, degrees): 5.2724 5.2724 5.2724 90.00 90.00 90.00
Last column: nearest neighbours and their distance in Å.
Atoms (fractional coordinates):
Ho: 0.0000 0.0000 0.5000  2 Ni 2.64
Ho: 0.0000 0.5000 0.0000  2 Ni 2.64
Ho: 0.5000 0.0000 0.0000  2 Ni 2.64
Er: 0.5000 0.5000 0.5000  12 Ho 3.73
Ni: 0.0000 0.0000 0.0000  6 Ho 2.64

Computed properties:
E_tot, eV/f.u.: -24.223
Magnetic moment, μB/f.u.: 0.000
SG: Pm-3m
Density of states at the Fermi level, states/eV/cell: 9.53
Excess energy over the best structure of this formula in the dataset, kJ per mole of atoms: 14.5



Entry 3:
Density functional theory data (PBE) for crystalline CdAgAs at its relaxed geometry.

Lattice parameters (Å, degrees): 4.7746 4.7746 3.0834 90.00 90.00 120.00
Last column: nearest neighbours and their distance in Å.
Atoms (fractional coordinates):
Cd: 0.0000 0.0000 0.0000  2 Cd 3.08, 6 As 3.15-3.17, 6 Ag 3.15-3.16
Ag: 0.6667 0.3333 0.5043  3 As 2.76, 2 Ag 3.08
As: 0.3333 0.6667 0.5044  3 Ag 2.76, 2 As 3.08

Computed properties:
E_tot, eV/f.u.: -7.981
Magnetic moment, μB/f.u.: 0.000
SG: P3m1
Density of states at the Fermi level, states/eV/cell: 1.16



Entry 4:
Density functional theory data (PBE) for crystalline In14SnBi at its relaxed geometry.

Lattice parameters (Å, degrees): 6.5749 6.5749 10.2335 90.00 90.00 90.09
Last column: nearest neighbours and their distance in Å.
Atoms (fractional coordinates):
In: 0.0000 0.0000 0.0000  12 In 3.29-3.42
In: 0.0000 0.5000 0.0000  12 In 3.29-3.43
In: 0.0000 0.5000 0.5000  2 Sn 3.29, 2 Bi 3.29, 8 In 3.48-3.49
In: 0.2484 0.7516 0.2465  10 In 3.27-3.48, 1 Sn 3.48, 1 Bi 3.49
In: 0.2484 0.7516 0.7535  10 In 3.27-3.48, 1 Sn 3.48, 1 Bi 3.49
In: 0.2493 0.2493 0.2464  10 In 3.27-3.49, 1 Sn 3.48, 1 Bi 3.49
In: 0.2493 0.2493 0.7536  10 In 3.27-3.49, 1 Sn 3.48, 1 Bi 3.49
In: 0.5000 0.0000 0.0000  12 In 3.29-3.43
In: 0.5000 0.0000 0.5000  2 Sn 3.29, 2 Bi 3.29, 8 In 3.48-3.49
In: 0.5000 0.5000 0.0000  12 In 3.29-3.44
In: 0.7507 0.7507 0.2464  10 In 3.27-3.49, 1 Sn 3.48, 1 Bi 3.49
In: 0.7507 0.7507 0.7536  10 In 3.27-3.49, 1 Sn 3.48, 1 Bi 3.49
In: 0.7516 0.2484 0.2465  10 In 3.27-3.48, 1 Sn 3.48, 1 Bi 3.49
In: 0.7516 0.2484 0.7535  10 In 3.27-3.48, 1 Sn 3.48, 1 Bi 3.49
Sn: 0.0000 0.0000 0.5000  12 In 3.29-3.48
Bi: 0.5000 0.5000 0.5000  12 In 3.29-3.49

Computed properties:
E_tot, eV/f.u.: -46.047
Magnetic moment, μB/f.u.: 0.000
SG: Cmmm
Density of states at the Fermi level, states/eV/cell: 4.82



> What is the formula in the third record?

CdAgAs



> What is the magnetic moment in the second record?

0.000 μB/f.u.



> The lowest density of states at the Fermi level belongs to which entry?

CdAgAs